A geometry-optimized Pr3ErSc structure, computed with PBE.

- space group = Pbcm
- raw total energy (eV per formula unit) = -24.16

a = 5.6543 Å, b = 11.9359 Å, c = 10.0807 Å
α = 90.00°, β = 90.00°, γ = 90.00°
Sites, in units of the cell vectors:
Pr 0.2490 0.2500 0.0000
Pr 0.2490 0.2500 0.5000
Pr 0.2503 0.5577 0.0644
Pr 0.2503 0.5577 0.4356
Pr 0.2503 0.9423 0.5644
Pr 0.2503 0.9423 0.9356
Pr 0.7497 0.0577 0.0644
Pr 0.7497 0.0577 0.4356
Pr 0.7497 0.4423 0.5644
Pr 0.7497 0.4423 0.9356
Pr 0.7510 0.7500 0.0000
Pr 0.7510 0.7500 0.5000
Er 0.2498 0.0614 0.2500
Er 0.2498 0.4386 0.7500
Er 0.7502 0.5614 0.2500
Er 0.7502 0.9386 0.7500
Sc 0.2514 0.7107 0.7500
Sc 0.2514 0.7893 0.2500
Sc 0.7486 0.2107 0.7500
Sc 0.7486 0.2893 0.2500


A geometry-optimized PrEr6Sc3 structure, computed with PBE.

- space group = Cmc2_1
- E above lowest polymorph (eV per atom) = 0.120

a = 10.6363 Å, b = 10.6363 Å, c = 6.1889 Å
α = 90.00°, β = 90.00°, γ = 122.61°
Sites, in units of the cell vectors:
Pr 0.2111 0.7889 0.5000
Pr 0.7889 0.2111 0.0000
Er 0.0248 0.4331 0.6448
Er 0.0453 0.9547 0.1449
Er 0.2937 0.3663 0.8047
Er 0.3153 0.6847 0.9581
Er 0.3663 0.2937 0.3047
Er 0.4331 0.0248 0.1448
Er 0.5669 0.9752 0.6448
Er 0.6337 0.7063 0.8047
Er 0.6847 0.3153 0.4581
Er 0.7063 0.6337 0.3047
Er 0.9547 0.0453 0.6449
Er 0.9752 0.5669 0.1448
Sc 0.0813 0.3078 0.2162
Sc 0.3078 0.0813 0.7162
Sc 0.3853 0.6147 0.4203
Sc 0.6147 0.3853 0.9203
Sc 0.6922 0.9187 0.2162
Sc 0.9187 0.6922 0.7162


| no. | mass density (kg/m3) | calculated volume (A^3/atom) | total magnetization (μB/f.u.) |
| --- | --- | --- | --- |
| 1 | 6199 | 34.0 | 0.000 |
| 2 | 7204 | 29.5 | 0.000 |